No. 1
La2SiRuSe, optimized geometry, DFT PBE-GGA; total DFT energy (no corrections) = -5.233 eV per atom; formation energy without anion corrections = 374.9 meV per atom
1.0
5.6377 0.0000 0.0000
0.0000 5.6377 0.0000
0.0000 0.0000 4.5260
La Si Ru Se
2 1 1 1
Cartesian
0.0000 2.8188 0.0000
2.8188 0.0000 0.0000
0.0000 0.0000 0.0000
2.8188 2.8188 2.2630
0.0000 0.0000 2.2630

***

No. 2
La2SnRuSe, optimized geometry, DFT PBE-GGA; total DFT energy (no corrections) = -5.122 eV per atom; formation energy without anion corrections = 201.9 meV per atom
1.0
5.5777 0.0000 0.0000
0.0000 5.5777 0.0000
0.0000 0.0000 5.2098
La Sn Ru Se
2 1 1 1
Cartesian
0.0000 2.7889 0.0000
2.7889 0.0000 0.0000
0.0000 0.0000 2.6049
2.7889 2.7889 2.6049
0.0000 0.0000 0.0000

***

No. 3
LaTa2RuSe, optimized geometry, DFT PBE-GGA; total DFT energy (no corrections) = -6.085 eV per atom; formation energy without anion corrections = 2194.0 meV per atom
1.0
5.0860 0.0000 0.0000
0.0000 5.0860 0.0000
0.0000 0.0000 4.6251
La Ta Ru Se
1 2 1 1
Cartesian
0.0000 0.0000 0.0000
0.0000 2.5430 0.0000
2.5430 0.0000 0.0000
0.0000 0.0000 2.3126
2.5430 2.5430 2.3126

***

No. 4
La2Si4Ru5, optimized geometry, DFT PBE-GGA; total DFT energy (no corrections) = -7.856 eV per atom; formation energy without anion corrections = -771.8 meV per atom
1.0
0.0000 5.1488 6.3996
2.9659 0.0000 6.3996
2.9659 5.1488 0.0000
La Si Ru
2 4 5
Cartesian
2.9659 5.1488 1.6724
2.9659 5.1488 11.1268
2.9659 3.5587 4.7119
2.9659 3.5587 8.0873
2.9659 6.7388 4.7119
2.9659 6.7388 8.0873
1.4829 2.5744 0.0000
1.4829 2.5744 3.1998
1.4829 2.5744 6.3996
2.9659 5.1488 6.3996
4.4488 7.7232 9.5994

***

No. 5
LaSi4Ru, optimized geometry, DFT PBE-GGA; total DFT energy (no corrections) = -5.810 eV per atom; formation energy without anion corrections = 173.0 meV per atom
1.0
0.0000 3.7104 3.7104
3.7104 0.0000 3.7104
3.7104 3.7104 0.0000
La Si Ru
1 4 1
Cartesian
0.0000 0.0000 0.0000
2.7962 2.7962 2.7962
4.6247 4.6247 2.7962
4.6247 2.7962 4.6247
2.7962 4.6247 4.6247
5.5657 5.5657 5.5657

***

No. 6
LaSi4Ru4, optimized geometry, DFT PBE-GGA; total DFT energy (no corrections) = -7.744 eV per atom; formation energy without anion corrections = -663.4 meV per atom
1.0
8.0468 0.0000 0.0000
0.0000 8.0468 0.0000
0.0000 0.0000 4.6775
La Si Ru
2 8 8
Cartesian
2.0117 2.0117 1.1694
6.0351 6.0351 3.5081
0.4561 7.2445 0.7824
0.8023 4.4795 3.1211
3.2211 7.5908 3.1211
3.5674 4.8257 0.7824
4.4795 3.2211 3.8951
4.8257 0.4561 1.5564
7.2445 3.5674 1.5564
7.5908 0.8023 3.8951
0.9425 7.0888 3.0953
0.9580 4.9659 0.7566
3.0654 7.1043 0.7566
3.0809 4.9814 3.0953
4.9659 3.0654 1.5822
4.9814 0.9425 3.9209
7.0888 3.0809 3.9209
7.1043 0.9580 1.5822

***

No. 7
La4SiRu, optimized geometry, DFT PBE-GGA; total DFT energy (no corrections) = -6.122 eV per atom; formation energy without anion corrections = -387.2 meV per atom; offset from the most stable computed form = 0 meV per atom
1.0
4.5455 -6.9619 0.0000
4.5455 6.9619 0.0000
-3.3354 0.0000 5.4981
La Si Ru
8 2 2
Cartesian
0.3822 4.3732 5.0408
0.3011 0.9000 3.7833
3.7057 4.3732 3.2062
1.9688 -0.9000 1.0343
3.7868 0.9000 4.4638
2.0499 -4.3732 2.2918
5.4545 -0.9000 1.7148
5.3734 -4.3732 0.4572
3.7116 1.7519 1.3745
2.0439 -1.7519 4.1235
2.0439 6.8993 4.1235
3.7116 -6.8993 1.3745

***

No. 8
La4SiRu, optimized geometry, DFT PBE-GGA; total DFT energy (no corrections) = -5.032 eV per atom; formation energy without anion corrections = 702.4 meV per atom; offset from the most stable computed form = 1090 meV per atom
1.0
0.0000 4.3619 4.3619
4.3619 0.0000 4.3619
4.3619 4.3619 0.0000
La Si Ru
4 1 1
Cartesian
1.0888 1.0888 1.0888
3.2731 3.2731 1.0888
3.2731 1.0888 3.2731
1.0888 3.2731 3.2731
4.3619 4.3619 4.3619
6.5429 6.5429 6.5429

***

No. 9
La3Si3Ru, optimized geometry, DFT PBE-GGA; total DFT energy (no corrections) = -6.499 eV per atom; formation energy without anion corrections = -738.4 meV per atom
1.0
5.7007 -2.1864 0.0000
5.7007 2.1864 0.0000
-5.5422 0.0000 13.1419
La Si Ru
6 6 2
Cartesian
-1.8502 0.0000 4.9324
-3.9372 0.0000 12.0918
1.6081 0.0000 2.9964
4.2512 0.0000 10.1455
9.7964 0.0000 1.0500
7.7094 0.0000 8.2094
1.4205 0.0000 5.9764
-0.5903 0.0000 12.1500
0.7419 0.0000 9.9750
5.1173 0.0000 3.1669
6.4495 0.0000 0.9918
4.4387 0.0000 7.1655
-0.2941 0.0000 7.6632
6.1533 0.0000 5.4787

***

No. 10
La2SiRu2, optimized geometry, DFT PBE-GGA; total DFT energy (no corrections) = -7.140 eV per atom; formation energy without anion corrections = -374.6 meV per atom; offset from the most stable computed form = 143 meV per atom
1.0
6.7128 0.0000 0.0000
0.0000 6.7128 0.0000
0.0000 0.0000 4.6438
La Si Ru
4 2 4
Cartesian
1.2363 2.1201 0.0000
2.1201 5.4764 0.0000
4.5927 1.2363 0.0000
5.4764 4.5927 0.0000
0.0000 0.0000 2.3219
3.3564 3.3564 2.3219
0.9426 4.2989 2.3219
2.4138 0.9426 2.3219
4.2989 5.7702 2.3219
5.7702 2.4138 2.3219

***

No. 11
La2Si3Ru, optimized geometry, DFT PBE-GGA; total DFT energy (no corrections) = -6.633 eV per atom; formation energy without anion corrections = -732.9 meV per atom
1.0
0.0000 4.3180 7.1972
4.1908 0.0000 7.1972
4.1908 4.3180 0.0000
La Si Ru
4 6 2
Cartesian
4.1908 2.0893 7.1972
2.0954 2.1590 3.5986
6.2862 6.4771 10.7958
4.1908 6.5468 7.1972
6.2830 4.3180 5.9868
4.1908 4.3180 4.7907
6.2830 4.3180 8.4076
2.0986 4.3180 5.9868
4.1908 4.3180 9.6037
2.0986 4.3180 8.4076
4.1908 4.3180 2.3970
4.1908 4.3180 11.9974

***

No. 12
LaSi2Ru2, optimized geometry, DFT PBE-GGA; total DFT energy (no corrections) = -7.759 eV per atom; formation energy without anion corrections = -893.7 meV per atom
1.0
-2.1219 2.1219 4.9766
2.1219 -2.1219 4.9766
2.1219 2.1219 -4.9766
La Si Ru
1 2 2
Cartesian
0.0000 0.0000 0.0000
0.0000 0.0000 3.5984
0.0000 0.0000 6.3549
2.1219 0.0000 2.4883
0.0000 2.1219 2.4883